# 1
This record from Alexandria describes crystalline BeCu2Ir at its relaxed geometry. The functional is PBE.

a = 2.8310 Å, b = 2.8310 Å, c = 5.8194 Å
α = 90.00°, β = 90.00°, γ = 90.00°
With the nearest neighbours (Å) after each atom.
Space group P4mm (No. 99)
One atom of each set of equivalent atoms:
Be1 0.0000 0.0000 0.0000 (multiplicity 1)  4 Ir 2.35, 4 Cu 2.44
Cu1 0.0000 0.0000 0.4965 (multiplicity 1)  4 Cu 2.50, 4 Ir 2.63
Cu2 0.5000 0.5000 0.2387 (multiplicity 1)  4 Be 2.44, 4 Cu 2.50, 1 Ir 2.61
Ir1 0.5000 0.5000 0.7896 (multiplicity 1)  4 Be 2.35, 1 Cu 2.61

- Formation energy: -144 meV per atom
- Crystal system: tetragonal

=====

# 2
This record from Alexandria describes crystalline Nd2MgCu at its relaxed geometry. The functional is PBE.

a = 3.6816 Å, b = 12.3991 Å, c = 9.2475 Å
α = 90.00°, β = 90.00°, γ = 90.00°
With the nearest neighbours (Å) after each atom.
Space group Cmcm (No. 63)
One atom of each set of equivalent atoms:
Nd1 0.0000 0.1319 0.0593 (multiplicity 8)  3 Cu 3.01-3.16
Mg1 0.0000 0.4280 0.2500 (multiplicity 4)  2 Cu 2.77
Cu1 0.0000 0.2392 0.7500 (multiplicity 4)  2 Mg 2.77, 4 Nd 3.01

- Formation energy: -74 meV per atom
- Crystal system: orthorhombic
- Offset from the most stable computed form: 34 meV/atom

=====

# 3
This record from Alexandria describes crystalline SrHfAs2 at its relaxed geometry. The functional is PBE.

a = 7.3584 Å, b = 7.3584 Å, c = 8.9207 Å
α = 90.00°, β = 90.00°, γ = 90.00°
With the nearest neighbours (Å) after each atom.
Space group I-42d (No. 122)
One atom of each set of equivalent atoms:
Sr1 0.0000 0.0000 0.0000 (multiplicity 4)  4 As 3.10
Hf1 0.0000 0.0000 0.5000 (multiplicity 4)  4 As 2.59
As1 0.1958 0.2500 0.6250 (multiplicity 8)  2 Hf 2.59

- Formation energy: -808 meV per atom
- Crystal system: tetragonal
- Offset from the most stable computed form: 307 meV/atom